{"formula": "MoSeBr2O", "functional": "GGA+U", "state": "optimized geometry", "cell": [[4.8283, 0.0000, 0.0000], [0.0000, 4.8283, 0.0000], [0.0000, 0.0000, 4.5195]], "species": ["Mo", "Se", "Br", "Br", "O"], "fractional_positions": [[0.0000, 0.0000, 0.0000], [0.5000, 0.5000, 0.0000], [0.0000, 0.5000, 0.5000], [0.5000, 0.0000, 0.5000], [0.5000, 0.5000, 0.5000]], "sg": "P4/mmm, No. 123", "de_polymorph_mev_per_atom": 0, "total_energy_ev_per_atom": -3.17}